Compound: MgPd2Pb
Source: Alexandria
Functional: PBE
Structure: optimized geometry Values from VASP.

```
&SYSTEM
  ibrav = 0, nat = 4, ntyp = 3
/
ATOMIC_SPECIES
Pd 106.42 Pd.upf
Mg 24.30 Mg.upf
Pb 207.20 Pb.upf
ATOMIC_POSITIONS angstrom
Pd -1.683 1.398 0.679
Pd 0.911 0.076 2.100
Mg -0.960 -1.382 0.466
Pb -1.732 0.092 3.245
CELL_PARAMETERS angstrom
-1.920 -2.763 0.932
1.821 0.152 4.201
-3.365 2.796 1.358
```

* space group: No. 123
* crystal system: tetragonal
* DFT formation energy: -0.434 eV per atom